Compound: BaGdPd2
Source: the Open Quantum Materials Database
Functional: PBE-GGA
Structure: optimized geometry

abc: 4.590 6.190 6.190
angles: 37.48 90.00 90.00
Sites, in units of the cell vectors:
Pd (0.000, 0.086, 0.086)
Ba (0.000, 0.354, 0.354)
Pd (0.500, 0.937, 0.937)
Gd (0.500, 0.623, 0.623)

Output
- Size of the total moment: 0.00 μB per atom
- Electronic total energy: -0.17776 hartree per atom